Entry from Alexandria via LeMat-Bulk: RbSc2Cu after structural relaxation (PBE).

The structure belongs to space group R-3m (No. 166, hexagonal axes); the cell edges are 3.6608, 3.6608 and 32.0634 Å and the angles 90.00°, 90.00° and 120.00°. The inequivalent atoms are Rb at (0.0000, 0.0000, 0.0000), Sc at (0.0000, 0.0000, 0.1172) and Cu at (0.0000, 0.0000, 0.5000).

For the formation energy, the calculation gives 0.39 eV per atom. Its density of states at the Fermi level is 1.2136 states/eV per atom. As for the calculated volume: 124.0 Å³/f.u.